[1]
Compound: TbDy2Cu4Si4
Source: the Open Quantum Materials Database
Functional: PBE
Structure: optimized geometry

raw total energy = -5.22 eV per atom

a = 4.129 Å, b = 6.534 Å, c = 13.681 Å
α = 90.00°, β = 90.00°, γ = 90.00°
Space group Immm (No. 71)
Unique sites:
Tb: 0.000 0.000 0.000
Dy: 0.000 0.500 0.130
Cu: 0.000 0.309 0.331
Si: 0.000 0.000 0.216
Si: 0.000 0.184 0.500

=====

[2]
Compound: LiCoReB
Source: the Open Quantum Materials Database
Functional: PBE
Structure: optimized geometry

raw total energy = -6.48 eV per atom
excess energy over the best structure of this formula in the dataset = 160 meV/atom

a = 5.497 Å, b = 5.497 Å, c = 5.497 Å
α = 90.00°, β = 90.00°, γ = 90.00°
Space group F-43m (No. 216)
Unique sites:
Li: 0.000 0.000 0.000
Co: 0.000 0.000 0.500
Re: 0.250 0.250 0.750
B: 0.250 0.250 0.250

=====

Record order is preserved below.
Ρ: 7652, 10515 kg/m³